HoInGaTe3 | PBE-GGA | relaxed

Results
Theoretical density (kg/m3): 6251
Raw total energy (eV/atom): -3.93
Magnetic moment (μB/f.u.): 0.0

Cell: 4.528 14.969 11.480 Å, 90.00 90.00 90.00°
Space group Cmcm (No. 63)
Symmetry-distinct sites (fractional):
Ho1 0.000 0.000 0.000
In1 0.000 0.247 0.250
Ga1 0.000 0.466 0.750
Te1 0.000 0.080 0.750
Te2 0.000 0.362 0.551

---

HoTm2Zn3InGa2 | PBE-GGA | relaxed

Results
Theoretical density (kg/m3): 8606
Raw total energy (eV/atom): -3.41
Magnetic moment (μB/f.u.): 0.0

Cell: 4.365 12.097 6.966 Å, 90.00 90.00 90.00°
Space group Amm2 (No. 38)
Symmetry-distinct sites (fractional):
Ho1 0.000 0.000 0.000
Tm1 0.000 0.222 0.335
Zn1 0.500 0.000 0.302
Zn2 0.500 0.127 0.683
In1 0.000 0.000 0.555
Ga1 0.500 0.167 0.056

---

Ho3Ga8Ir3 | PBE-GGA | relaxed

Results
Theoretical density (kg/m3): 10690
Raw total energy (eV/atom): -5.27
Magnetic moment (μB/f.u.): 0.0

Cell: 4.195 9.814 12.295 Å, 90.00 90.00 90.00°
Space group Immm (No. 71)
Symmetry-distinct sites (fractional):
Ho1 0.000 0.000 0.000
Ho2 0.000 0.000 0.330
Ga1 0.000 0.285 0.124
Ga2 0.000 0.371 0.331
Ir1 0.000 0.218 0.500
Ir2 0.000 0.500 0.000

---

LaHoGa4Ir2 | PBE-GGA | relaxed

Results
Theoretical density (kg/m3): 10298
Raw total energy (eV/atom): -5.64
Magnetic moment (μB/f.u.): 0.0

Cell: 4.225 7.259 5.492 Å, 90.00 112.20 90.00°
Space group Pm (No. 6)
Symmetry-distinct sites (fractional):
La1 0.000 0.000 0.000
Ho1 0.857 0.500 0.711
Ga1 0.286 0.204 0.564
Ga2 0.575 0.310 0.150
Ir1 0.140 0.500 0.282
Ir2 0.724 0.000 0.438

---

LiHoGa2Ir4 | PBE-GGA | relaxed

Results
Theoretical density (kg/m3): 14886
Raw total energy (eV/atom): -6.45
Magnetic moment (μB/f.u.): 0.0

Cell: 4.388 4.388 6.259 Å, 90.00 90.00 90.00°
Space group P4/mmm (No. 123)
Symmetry-distinct sites (fractional):
Li1 0.000 0.000 0.000
Ho1 0.500 0.500 0.500
Ga1 0.000 0.000 0.500
Ga2 0.500 0.500 0.000
Ir1 0.000 0.500 0.227

---

Ho3Mg3Ga2Ir | PBE-GGA | relaxed

Results
Theoretical density (kg/m3): 7590
Raw total energy (eV/atom): -4.23
Magnetic moment (μB/f.u.): 0.0

Cell: 7.2244 7.2244 4.3535 Å, 90.00 90.00 120.00°
Space group P-62m (No. 189)
Symmetry-distinct sites (fractional):
Ho1 0.0000 0.4041 0.0000
Mg1 0.0000 0.7622 0.5000
Ga1 0.3333 0.6667 0.5000
Ir1 0.0000 0.0000 0.0000

---

Ho2Ga2Ir3Pd | PBE-GGA | relaxed

Results
Theoretical density (kg/m3): 13008
Raw total energy (eV/atom): -6.56
Magnetic moment (μB/f.u.): 0.0

Cell: 4.3365 4.3365 9.0332 Å, 90.00 90.00 120.00°
Space group P3m1 (No. 156)
Symmetry-distinct sites (fractional):
Ho1 0.0000 0.0000 0.0000
Ho2 0.3333 0.6667 0.4955
Ga1 0.6667 0.3333 0.2522
Ga2 0.6667 0.3333 0.7636
Ir1 0.0000 0.0000 0.3281
Ir2 0.3333 0.6667 0.1634
Ir3 0.3333 0.6667 0.8370
Pd1 0.0000 0.0000 0.6643

---

Ho2Ga4IrPd | PBE-GGA | relaxed

Results
Theoretical density (kg/m3): 10186
Raw total energy (eV/atom): -5.19
Magnetic moment (μB/f.u.): 0.0

Cell: 6.732 4.341 10.123 Å, 90.00 90.00 90.00°
Space group Amm2 (No. 38)
Symmetry-distinct sites (fractional):
Ho1 0.000 0.000 0.000
Ho2 0.500 0.000 0.165
Ga1 0.196 0.000 0.714
Ga2 0.305 0.000 0.451
Ir1 0.500 0.000 0.876
Pd1 0.000 0.000 0.289

---

Ho2Ga4IrPt | PBE-GGA | relaxed

Results
Theoretical density (kg/m3): 11191
Raw total energy (eV/atom): -5.36
Magnetic moment (μB/f.u.): 0.0

Cell: 6.791 4.299 10.126 Å, 90.00 90.00 90.00°
Space group Amm2 (No. 38)
Symmetry-distinct sites (fractional):
Ho1 0.000 0.000 0.000
Ho2 0.500 0.000 0.162
Ga1 0.198 0.000 0.715
Ga2 0.304 0.000 0.448
Ir1 0.500 0.000 0.874
Pt1 0.000 0.000 0.288

---

HoScGa4Ir2 | PBE-GGA | relaxed

Results
Theoretical density (kg/m3): 10193
Raw total energy (eV/atom): -5.82
Magnetic moment (μB/f.u.): 0.0

Cell: 6.806 4.239 9.861 Å, 90.00 90.00 90.00°
Space group Amm2 (No. 38)
Symmetry-distinct sites (fractional):
Ho1 0.000 0.000 0.000
Sc1 0.500 0.000 0.839
Ga1 0.203 0.000 0.286
Ga2 0.306 0.000 0.556
Ir1 0.000 0.000 0.712
Ir2 0.500 0.000 0.125

---

TbHoGa4Ir2 | PBE-GGA | relaxed

Results
Theoretical density (kg/m3): 11157
Raw total energy (eV/atom): -5.63
Magnetic moment (μB/f.u.): 0.0

Cell: 6.690 4.348 10.101 Å, 90.00 90.00 90.00°
Space group Amm2 (No. 38)
Symmetry-distinct sites (fractional):
Tb1 0.000 0.000 0.000
Ho1 0.500 0.000 0.171
Ga1 0.196 0.000 0.718
Ga2 0.305 0.000 0.452
Ir1 0.000 0.000 0.287
Ir2 0.500 0.000 0.883

---

TbHoGa2Ir4 | PBE-GGA | relaxed

Results
ΔE to the lowest computed polymorph (kJ per mole of atoms): 1.8
Theoretical density (kg/m3): 14995
Magnetic moment (μB/f.u.): 0.0

Cell: 4.586 4.586 6.488 Å, 90.00 90.00 90.00°
Space group P4/mmm (No. 123)
Symmetry-distinct sites (fractional):
Tb1 0.000 0.000 0.000
Ho1 0.500 0.500 0.500
Ga1 0.000 0.000 0.500
Ga2 0.500 0.500 0.000
Ir1 0.000 0.500 0.251

---

TbHoGa2Ir4 | PBE-GGA | relaxed

Results
ΔE to the lowest computed polymorph (kJ per mole of atoms): 0.0
Theoretical density (kg/m3): 13932
Magnetic moment (μB/f.u.): 0.3

Cell: 4.3357 4.3357 9.0208 Å, 90.00 90.00 120.00°
Space group P-6m2 (No. 187)
Symmetry-distinct sites (fractional):
Tb1 0.0000 0.0000 0.0000
Ho1 0.3333 0.6667 0.5000
Ga1 0.6667 0.3333 0.2519
Ir1 0.0000 0.0000 0.3359
Ir2 0.3333 0.6667 0.1716

---

TbHoGa4Ir2 | PBE-GGA | relaxed

Results
Theoretical density (kg/m3): 10979
Raw total energy (eV/atom): -5.63
Magnetic moment (μB/f.u.): 0.0

Cell: 6.942 4.250 10.122 Å, 90.00 90.00 90.00°
Space group Amm2 (No. 38)
Symmetry-distinct sites (fractional):
Tb1 0.000 0.000 0.000
Ho1 0.500 0.000 0.153
Ga1 0.197 0.000 0.716
Ga2 0.304 0.000 0.437
Ir1 0.000 0.000 0.286
Ir2 0.500 0.000 0.867

---

YHoGa2Ir4 | PBE-GGA | relaxed

Results
ΔE to the lowest computed polymorph (kJ per mole of atoms): 0.0
Theoretical density (kg/m3): 13174
Magnetic moment (μB/f.u.): 0.3

Cell: 4.3316 4.3316 9.0151 Å, 90.00 90.00 120.00°
Space group P-6m2 (No. 187)
Symmetry-distinct sites (fractional):
Y1 0.0000 0.0000 0.0000
Ho1 0.3333 0.6667 0.5000
Ga1 0.6667 0.3333 0.2511
Ir1 0.0000 0.0000 0.3359
Ir2 0.3333 0.6667 0.1719

---

YHoGa2Ir4 | PBE-GGA | relaxed

Results
ΔE to the lowest computed polymorph (kJ per mole of atoms): 1.3
Theoretical density (kg/m3): 14188
Magnetic moment (μB/f.u.): 0.0

Cell: 4.580 4.580 6.484 Å, 90.00 90.00 90.00°
Space group P4/mmm (No. 123)
Symmetry-distinct sites (fractional):
Y1 0.000 0.000 0.000
Ho1 0.500 0.500 0.500
Ga1 0.000 0.000 0.500
Ga2 0.500 0.500 0.000
Ir1 0.000 0.500 0.252

---

HoZn2GaIr4 | PBE-GGA | relaxed

Results
Theoretical density (kg/m3): 15248
Raw total energy (eV/atom): -6.10
Magnetic moment (μB/f.u.): 0.0

Cell: 4.389 4.389 6.414 Å, 90.00 90.00 90.00°
Space group P4/mmm (No. 123)
Symmetry-distinct sites (fractional):
Ho1 0.000 0.000 0.000
Zn1 0.000 0.000 0.500
Zn2 0.500 0.500 0.000
Ga1 0.500 0.500 0.500
Ir1 0.000 0.500 0.274

---

HoZnGa2Ir4 | PBE-GGA | relaxed

Results
Theoretical density (kg/m3): 15333
Raw total energy (eV/atom): -6.39
Magnetic moment (μB/f.u.): 0.0

Cell: 4.398 4.398 6.376 Å, 90.00 90.00 90.00°
Space group P4/mmm (No. 123)
Symmetry-distinct sites (fractional):
Ho1 0.000 0.000 0.000
Zn1 0.500 0.500 0.500
Ga1 0.000 0.000 0.500
Ga2 0.500 0.500 0.000
Ir1 0.000 0.500 0.271

---

KHoGaTe3 | PBE-GGA | relaxed

Results
Theoretical density (kg/m3): 5126
Raw total energy (eV/atom): -3.95
Magnetic moment (μB/f.u.): 0.0

Cell: 4.771 15.360 11.608 Å, 90.00 90.00 90.00°
Space group Cmcm (No. 63)
Symmetry-distinct sites (fractional):
K1 0.000 0.247 0.250
Ho1 0.000 0.000 0.000
Ga1 0.000 0.481 0.750
Te1 0.000 0.071 0.750
Te2 0.000 0.373 0.559

---

LaHoGa | PBE-GGA | relaxed

Results
ΔE to the lowest computed polymorph (kJ per mole of atoms): 0.0
Theoretical density (kg/m3): 6741
Magnetic moment (μB/f.u.): 0.7

Cell: 7.167 7.167 7.167 Å, 90.00 90.00 90.00°
Space group F-43m (No. 216)
Symmetry-distinct sites (fractional):
La1 0.000 0.000 0.000
Ho1 0.000 0.000 0.500
Ga1 0.250 0.250 0.750

---

LaHoGa5 | PBE-GGA | relaxed

Results
Theoretical density (kg/m3): 6621
Raw total energy (eV/atom): -3.88
Magnetic moment (μB/f.u.): 0.0

Cell: 4.453 4.453 8.251 Å, 90.00 90.00 90.00°
Space group P4/mmm (No. 123)
Symmetry-distinct sites (fractional):
La1 0.000 0.000 0.000
Ho1 0.000 0.000 0.500
Ga1 0.000 0.500 0.265
Ga2 0.500 0.500 0.000

---

LaHoGa2Ni4 | PBE-GGA | relaxed

Results
Theoretical density (kg/m3): 8131
Raw total energy (eV/atom): -5.28
Magnetic moment (μB/f.u.): 0.0

Cell: 4.1787 4.1787 9.1568 Å, 90.00 90.00 120.00°
Space group P-6m2 (No. 187)
Symmetry-distinct sites (fractional):
La1 0.0000 0.0000 0.0000
Ho1 0.6667 0.3333 0.5000
Ga1 0.3333 0.6667 0.2645
Ni1 0.0000 0.0000 0.3182
Ni2 0.6667 0.3333 0.2045

---

LaHoGa2Pd4 | PBE-GGA | relaxed

Results
Theoretical density (kg/m3): 9136
Raw total energy (eV/atom): -5.41
Magnetic moment (μB/f.u.): 0.0

Cell: 4.4375 4.4375 9.2616 Å, 90.00 90.00 120.00°
Space group P-6m2 (No. 187)
Symmetry-distinct sites (fractional):
La1 0.0000 0.0000 0.0000
Ho1 0.3333 0.6667 0.5000
Ga1 0.6667 0.3333 0.2598
Pd1 0.0000 0.0000 0.3369
Pd2 0.3333 0.6667 0.1845

---

LaHoGa2Pt4 | PBE-GGA | relaxed

Results
Theoretical density (kg/m3): 12798
Raw total energy (eV/atom): -6.00
Magnetic moment (μB/f.u.): 0.0

Cell: 4.4149 4.4149 9.4052 Å, 90.00 90.00 120.00°
Space group P-6m2 (No. 187)
Symmetry-distinct sites (fractional):
La1 0.0000 0.0000 0.0000
Ho1 0.3333 0.6667 0.5000
Ga1 0.6667 0.3333 0.2594
Pt1 0.0000 0.0000 0.3415
Pt2 0.3333 0.6667 0.1850